Entry 1:
BaLaBi2 | Alexandria via LeMat-Bulk | GGA-PBE | relaxed; excess energy over the best structure of this formula in the dataset = 0.13 eV per formula unit; symmetry = P4/mmm (123); ρ = 8.00 Mg/m³; crystal system = tetragonal
1.0
-0.6882 -4.3485 -0.1348
3.8713 -0.6744 1.9899
-3.3480 0.3245 6.6234
Ba Bi La
1 2 1
direct
0.5000 0.5000 0.5000
0.0000 0.0000 0.7759
0.0000 0.0000 0.2241
0.5000 0.5000 0.0000

---

Entry 2:
AgBrF2 | Alexandria via LeMat-Bulk | GGA-PBE | relaxed; excess energy over the best structure of this formula in the dataset = 1.89 eV per formula unit; symmetry = Fm-3m (225); formation energy from raw total energies = -0.33 eV/atom; ρ = 6.02 Mg/m³; crystal system = cubic
1.0
0.4476 -1.6974 4.0877
-3.6076 -1.1050 2.3570
-0.9439 -4.2830 0.7457
F Br Ag
2 1 1
direct
0.7500 0.7500 0.7500
0.2500 0.2500 0.2500
0.0000 0.0000 0.0000
0.5000 0.5000 0.5000

---

Entry 3:
BaTmAgTe3 | Alexandria via LeMat-Bulk | GGA-PBE | relaxed; symmetry = P2_1/m (11); formation energy from raw total energies = -1.23 eV/atom; ρ = 6.55 Mg/m³; crystal system = monoclinic
1.0
-4.0205 -1.4390 1.4171
2.8459 -8.6930 -0.7531
2.3332 2.8194 9.4828
Te Ag Ba Tm
6 2 2 2
direct
0.7500 0.4468 0.1542
0.7500 0.8952 0.1271
0.7500 0.2518 0.5309
0.2500 0.5532 0.8458
0.2500 0.7482 0.4691
0.2500 0.1048 0.8729
0.2500 0.0802 0.5872
0.7500 0.9198 0.4128
0.2500 0.2007 0.2533
0.7500 0.7993 0.7467
0.7500 0.3221 0.8405
0.2500 0.6779 0.1595

---

Entry 4:
NaBiPb3 | Alexandria via LeMat-Bulk | GGA-PBE | relaxed; excess energy over the best structure of this formula in the dataset = 0.66 eV per formula unit; symmetry = Amm2 (38); ρ = 8.09 Mg/m³; crystal system = orthorhombic
1.0
-1.5570 4.8338 -2.0622
-2.2955 -4.3715 -8.5139
-1.8735 1.6725 5.3350
Na Pb Bi
1 3 1
direct
0.5000 0.9106 0.8213
0.5000 0.3888 0.7776
0.0000 0.0231 0.3850
0.0000 0.3619 0.3850
0.0000 0.6702 0.3403

---

Entry 5:
Sm2AlCd2 | Alexandria via LeMat-Bulk | GGA-PBE | relaxed; symmetry = Cmmm (65); uncorrected energy = -16.50 eV per cell; ρ = 7.29 Mg/m³; crystal system = orthorhombic
1.0
-0.3537 -3.2884 1.0500
0.8026 1.3562 4.5177
-7.0325 1.7926 3.2449
Cd Sm Al
2 2 1
direct
0.0000 0.8021 0.3957
0.0000 0.1979 0.6043
0.5000 0.6080 0.7839
0.5000 0.3920 0.2161
0.0000 0.0000 0.0000

---

Entry 6:
Li2InGe2 | Alexandria via LeMat-Bulk | GGA-PBE | relaxed; excess energy over the best structure of this formula in the dataset = 0.41 eV per formula unit; symmetry = I4/mmm (139); ρ = 4.68 Mg/m³; crystal system = tetragonal
1.0
-0.4948 2.4038 -3.2447
2.2829 -2.5300 -2.2224
-3.9128 -3.0807 -4.2362
Ge In Li
2 1 2
direct
0.6027 0.6027 0.7946
0.3973 0.3973 0.2054
0.0000 0.0000 0.0000
0.2500 0.7500 0.5000
0.7500 0.2500 0.5000

---

Entry 7:
Li2CaPrCd2 | Alexandria via LeMat-Bulk | GGA-PBE | relaxed; symmetry = P-3m1 (164); uncorrected energy = -13.59 eV per cell; ρ = 4.48 Mg/m³; crystal system = trigonal
1.0
5.0204 0.0000 0.0000
-2.5102 4.3478 0.0000
0.0000 0.0000 7.1265
Li Pr Ca Cd
2 1 1 2
direct
0.3333 0.6667 0.7480
0.6667 0.3333 0.2520
0.0000 0.0000 0.0000
0.0000 0.0000 0.5000
0.3333 0.6667 0.2344
0.6667 0.3333 0.7656

---

Entry 8:
LaSiSe2Br | Alexandria via LeMat-Bulk | GGA-PBE | relaxed; excess energy over the best structure of this formula in the dataset = 0.00 eV per formula unit; symmetry = P4/mmm (123); formation energy from raw total energies = -0.75 eV/atom; ρ = 5.26 Mg/m³; crystal system = tetragonal
1.0
-2.7943 -2.0874 -3.7037
-0.0538 -4.4143 2.5285
-4.1283 1.3867 2.3330
La Br Si Se
1 1 1 2
direct
0.5000 0.5000 0.5000
0.0000 0.0000 0.5000
0.0000 0.0000 0.0000
0.0000 0.5000 0.0000
0.5000 0.0000 0.0000

---

| no. | magnetization (μB/f.u.) |
| --- | --- |
| 1 | 0.303 |
| 2 | 2.000 |
| 3 | 0.000 |
| 4 | 0.000 |
| 5 | 0.000 |
| 6 | 0.000 |
| 7 | 0.000 |
| 8 | 0.247 |